# Tb4Pr2Sn3N2

A relaxed structure of Tb4Pr2Sn3N2 (PBE, Alexandria via LeMat-Bulk).

Calculated values
Energy ... -6.182 eV per atom
Crystal system ... tetragonal
Space-group type ... I4/mmm (139)
Energy relative to the elements, uncorrected ... -1023 meV/atom
Magnetic moment ... 0.0000 μB per atom

Unit cell a=4.759 b=4.759 c=13.249 alpha=100.35 beta=100.35 gamma=90.00
Atoms (fractional coordinates):
N1 0.598 0.598 0.196
Pr1 0.308 0.308 0.617
Sn1 0.000 0.000 0.000
Tb1 0.582 0.082 0.165
Tb2 0.918 0.418 0.835
Pr2 0.692 0.692 0.383
Tb3 0.082 0.582 0.165
Sn2 0.174 0.174 0.349
Tb4 0.418 0.918 0.835
Sn3 0.826 0.826 0.651
N2 0.402 0.402 0.804

---

# CsRb2ReCl8

A relaxed structure of CsRb2ReCl8 (PBE, Alexandria via LeMat-Bulk).

Calculated values
Energy ... -3.749 eV per atom
Crystal system ... triclinic
Space-group type ... P-1 (2)
Energy relative to the elements, uncorrected ... -1249 meV/atom
Magnetic moment ... 0.2163 μB per atom

Unit cell a=6.108 b=7.240 c=10.290 alpha=89.91 beta=90.07 gamma=105.42
Site moments in Bohr magnetons follow the coordinates.
Atoms (fractional coordinates):
Cl1 0.079 0.799 0.838  0.04
Rb1 0.499 0.501 0.251  0.00
Cl2 0.922 0.202 0.837  0.04
Cl3 0.078 0.798 0.163  0.04
Re1 0.000 0.000 0.000  1.70
Rb2 0.501 0.499 0.749  0.00
Cl4 0.378 0.181 0.000  0.03
Cl5 0.622 0.819 0.000  0.03
Cl6 0.426 0.737 0.500  0.12
Cl7 0.574 0.263 0.500  0.12
Cl8 0.921 0.201 0.162  0.04
Cs1 0.000 0.000 0.500  0.00

---

# Cs2TbGaTe4

A relaxed structure of Cs2TbGaTe4 (PBE, Alexandria via LeMat-Bulk).

Calculated values
Energy ... -3.722 eV per atom
Crystal system ... orthorhombic
Space-group type ... Fddd (70)
Energy relative to the elements, uncorrected ... -981 meV/atom
Magnetic moment ... 0.0000 μB per atom

Unit cell a=6.759 b=8.697 c=14.537 alpha=84.82 beta=76.56 gamma=67.13
Atoms (fractional coordinates):
Te1 0.425 0.701 0.390
Te2 0.325 0.799 0.110
Te3 0.874 0.701 0.610
Cs1 0.569 0.500 0.863
Cs2 0.819 0.000 0.363
Ga1 0.250 0.500 0.500
Te4 0.565 0.201 0.110
Te5 0.233 0.201 0.890
Cs3 0.931 0.500 0.137
Ga2 0.500 0.000 0.000
Te6 0.876 0.799 0.890
Cs4 0.181 0.000 0.637
Te7 0.517 0.299 0.610
Tb1 0.000 0.000 0.000
Tb2 0.750 0.500 0.500
Te8 0.185 0.299 0.390

---

# LiHf3H6N2

A relaxed structure of LiHf3H6N2 (PBE, Alexandria via LeMat-Bulk).

Calculated values
Energy ... -6.249 eV per atom
Crystal system ... monoclinic
Space-group type ... C2/m (12)
Magnetic moment ... 0.0100 μB per atom

Unit cell a=3.273 b=6.093 c=6.358 alpha=118.63 beta=86.59 gamma=90.00
Site moments in Bohr magnetons follow the coordinates.
Atoms (fractional coordinates):
N1 0.059 0.697 0.394  0.01
Hf1 0.000 0.500 0.000  0.06
H1 0.700 0.317 0.144  0.00
H2 0.300 0.683 0.856  0.00
H3 0.391 0.147 0.294  0.00
Hf2 0.500 0.000 0.500  0.00
H4 0.300 0.173 0.856  0.00
Li1 0.500 0.000 0.000  0.00
Hf3 0.500 0.500 0.500  0.00
H5 0.609 0.853 0.706  0.00
N2 0.941 0.303 0.606  0.01
H6 0.700 0.827 0.144  0.00

---

# CdSnPb2

A relaxed structure of CdSnPb2 (PBE, Alexandria via LeMat-Bulk).

Calculated values
Energy ... -3.032 eV per atom
Crystal system ... orthorhombic
Space-group type ... Cmmm (65)
Magnetic moment ... 0.0000 μB per atom
Energy relative to the elements ... 0.051 eV per atom

Unit cell a=3.464 b=3.464 c=9.631 alpha=90.00 beta=90.00 gamma=94.48
Atoms (fractional coordinates):
Sn1 0.500 0.500 0.500
Pb1 0.000 0.000 0.243
Cd1 0.500 0.500 0.000
Pb2 0.000 0.000 0.757

---

# V2ZnIrPd

A relaxed structure of V2ZnIrPd (PBE, Alexandria via LeMat-Bulk).

Calculated values
Energy ... -5.449 eV per atom
Crystal system ... tetragonal
Space-group type ... P4/mmm (123)
Magnetic moment ... 0.0001 μB per atom
Energy relative to the elements ... 1.264 eV per atom

Unit cell a=4.528 b=4.501 c=4.528 alpha=90.00 beta=90.00 gamma=90.00
Atoms (fractional coordinates):
Pd1 0.000 0.000 0.000
Ir1 0.500 0.500 0.500
Zn1 0.000 0.500 0.000
V1 0.000 0.000 0.500
V2 0.500 0.000 0.000

---

Among the records above, which one has the highest magnetic moment?
CsRb2ReCl8

---

What is the energy in the third record?
-3.722 eV per atom